This record from the Alexandria database describes a relaxed structure of La8P3PtBr4. The functional is GGA-PBE.

CIF file:
```
data_La8P3PtBr4
_chemical_formula_sum 'La24 P9 Pt3 Br12'
_cell_length_a 8.5609
_cell_length_b 8.5609
_cell_length_c 21.9426
_cell_angle_alpha 90.00
_cell_angle_beta 90.00
_cell_angle_gamma 120.00
_symmetry_space_group_name_H-M 'R -3 m'
_symmetry_Int_Tables_number 166
_symmetry_space_group_name_Hall '-R 3 2"'
loop_
_atom_site_label
_atom_site_fract_x
_atom_site_fract_y
_atom_site_fract_z
La1 0.0000 0.0000 0.2371
La2 0.0026 0.5013 0.7620
P1 0.0000 0.5000 0.5000
Pt1 0.0000 0.0000 0.5000
Br1 0.0000 0.0000 0.0000
Br2 0.0000 0.5000 0.0000
```

* E_tot: -277.25 eV for the cell shown
* E_form (uncorrected): -1502 meV/atom
* mass density: 6.15 Mg/m³